# Ba2TiAs, optimized geometry, DFT PBE-GGA
data_Ba2TiAs
_cell_length_a 8.175
_cell_length_b 8.175
_cell_length_c 8.175
_cell_angle_alpha 90.00
_cell_angle_beta 90.00
_cell_angle_gamma 90.00
_symmetry_space_group_name_H-M 'F m -3 m'
_symmetry_Int_Tables_number 225
_symmetry_space_group_name_Hall '-F 4 2 3'
loop_
_atom_site_label
_atom_site_type_symbol
_atom_site_fract_x
_atom_site_fract_y
_atom_site_fract_z
Ba1 Ba 0.250 0.250 0.250
Ti1 Ti 0.000 0.000 0.000
As1 As 0.000 0.000 0.500
# **Energy relative to the elements**: 0.1003 eV/atom
# **Fermi-level density of states**: 4.77 states/eV/f.u.
# **Energy above the lowest structure with this stoichiometry**: 236 meV per atom